First-principles (GGA-PBE) data for a geometry-optimized Er3TeRu structure, as listed in Alexandria via LeMat-Bulk.

POSCAR file:
```
Er3TeRu
1.0
4.101 0.000 1.047
1.298 7.676 3.473
-0.105 0.071 8.969
Er Te Ru
6 2 2
Direct
0.038 0.121 0.803
0.962 0.879 0.197
0.657 0.551 0.135
0.343 0.449 0.865
0.729 0.826 0.716
0.271 0.174 0.284
0.386 0.754 0.474
0.614 0.246 0.526
0.151 0.753 0.945
0.849 0.247 0.055
```

Calculated values
ΔE to the lowest computed polymorph ... 0.0000 eV per atom
Electronic total energy ... -5.883 eV/atom
Formation energy from raw total energies ... -0.66 eV per atom



First-principles (GGA-PBE) data for a geometry-optimized KBeAu structure, as listed in Alexandria via LeMat-Bulk.

POSCAR file:
```
KBeAu
1.0
-4.743 -1.193 0.138
-1.460 -3.941 2.505
-2.539 0.540 4.148
Be K Au
1 1 1
Direct
0.000 0.000 0.000
0.500 0.500 0.500
0.750 0.750 0.750
```

Calculated values
ΔE to the lowest computed polymorph ... 0.6818 eV per atom
Electronic total energy ... -2.066 eV/atom
E_form ... 634 meV per atom



First-principles (GGA-PBE) data for a geometry-optimized NaErCdCl6 structure, as listed in Alexandria via LeMat-Bulk.

POSCAR file:
```
NaErCdCl6
1.0
6.786 0.000 0.000
-3.393 5.877 0.000
0.000 0.000 12.599
Na Er Cd Cl
2 2 2 12
Direct
0.000 0.000 0.000
0.000 0.000 0.500
0.333 0.667 0.250
0.667 0.333 0.750
0.667 0.333 0.250
0.333 0.667 0.750
0.643 0.648 0.132
0.005 0.357 0.132
0.357 0.005 0.632
0.995 0.643 0.868
0.352 0.357 0.368
0.005 0.648 0.368
0.648 0.005 0.868
0.643 0.995 0.368
0.995 0.352 0.632
0.352 0.995 0.132
0.648 0.643 0.632
0.357 0.352 0.868
```

Calculated values
Electronic total energy ... -3.767 eV/atom
Formation energy from raw total energies ... -1.78 eV per atom



> electronic total energy of number 2 (KBeAu)?

-2.066 eV/atom